*P*
# MgZn2Ga2

A relaxed structure of MgZn2Ga2 (PBE, the Alexandria database).

Geometry as CIF:
```
data_MgZn2Ga2
_chemical_formula_sum 'Mg2 Zn4 Ga4'
_cell_length_a 7.390
_cell_length_b 7.390
_cell_length_c 3.346
_cell_angle_alpha 90.00
_cell_angle_beta 90.00
_cell_angle_gamma 90.00
_symmetry_space_group_name_H-M 'P 4/m b m'
_symmetry_Int_Tables_number 127
_symmetry_space_group_name_Hall '-P 4 2ab'
loop_
_atom_site_label
_atom_site_type_symbol
_atom_site_fract_x
_atom_site_fract_y
_atom_site_fract_z
Mg1 Mg 0.000 0.000 0.000
Zn1 Zn 0.123 0.377 0.000
Ga1 Ga 0.177 0.677 0.500
```

*Q*
# MgZn2Ga2

A relaxed structure of MgZn2Ga2 (PBE, the Alexandria database).

Geometry as CIF:
```
data_MgZn2Ga2
_chemical_formula_sum 'Mg2 Zn4 Ga4'
_cell_length_a 7.262
_cell_length_b 7.262
_cell_length_c 3.503
_cell_angle_alpha 90.00
_cell_angle_beta 90.00
_cell_angle_gamma 90.00
_symmetry_space_group_name_H-M 'P 4/m b m'
_symmetry_Int_Tables_number 127
_symmetry_space_group_name_Hall '-P 4 2ab'
loop_
_atom_site_label
_atom_site_type_symbol
_atom_site_fract_x
_atom_site_fract_y
_atom_site_fract_z
Mg1 Mg 0.000 0.000 0.000
Zn1 Zn 0.175 0.325 0.500
Ga1 Ga 0.128 0.628 0.000
```

Most stable: *P* (next structure +0.032 eV/atom)

*P*
# MgZn2Ga2

A relaxed structure of MgZn2Ga2 (PBE, the Alexandria database).

Geometry as CIF:
```
data_MgZn2Ga2
_chemical_formula_sum 'Mg2 Zn4 Ga4'
_cell_length_a 3.909
_cell_length_b 3.909
_cell_length_c 11.891
_cell_angle_alpha 90.00
_cell_angle_beta 90.00
_cell_angle_gamma 90.00
_symmetry_space_group_name_H-M 'I 4/m m m'
_symmetry_Int_Tables_number 139
_symmetry_space_group_name_Hall '-I 4 2'
loop_
_atom_site_label
_atom_site_type_symbol
_atom_site_fract_x
_atom_site_fract_y
_atom_site_fract_z
Mg1 Mg 0.000 0.000 0.000
Zn1 Zn 0.000 0.000 0.398
Ga1 Ga 0.000 0.500 0.250
```

*Q*
# MgZn2Ga2

A relaxed structure of MgZn2Ga2 (PBE, the Alexandria database).

Geometry as CIF:
```
data_MgZn2Ga2
_chemical_formula_sum 'Mg2 Zn4 Ga4'
_cell_length_a 5.277
_cell_length_b 6.665
_cell_length_c 5.566
_cell_angle_alpha 90.00
_cell_angle_beta 107.23
_cell_angle_gamma 90.00
_symmetry_space_group_name_H-M 'C 1 2/m 1'
_symmetry_Int_Tables_number 12
loop_
_symmetry_equiv_pos_as_xyz
'x,y,z'
'-x,-y,-z'
'-x,y,-z'
'x,-y,z'
'x+1/2,y+1/2,z'
'-x+1/2,-y+1/2,-z'
'-x+1/2,y+1/2,-z'
'x+1/2,-y+1/2,z'
loop_
_atom_site_label
_atom_site_type_symbol
_atom_site_fract_x
_atom_site_fract_y
_atom_site_fract_z
Mg1 Mg 0.000 0.000 0.000
Zn1 Zn 0.000 0.197 0.500
Ga1 Ga 0.078 0.500 0.238
```

Most stable: *P* (next structure +0.007 eV/atom)

*P*
# MgZn6Ga8

A relaxed structure of MgZn6Ga8 (PBE, the Alexandria database).

Geometry as CIF:
```
data_MgZn6Ga8
_chemical_formula_sum 'Mg1 Zn6 Ga8'
_cell_length_a 7.5541
_cell_length_b 7.5541
_cell_length_c 5.7678
_cell_angle_alpha 90.00
_cell_angle_beta 90.00
_cell_angle_gamma 120.00
_symmetry_space_group_name_H-M 'P -3 1 m'
_symmetry_Int_Tables_number 162
_symmetry_space_group_name_Hall '-P 3 2'
loop_
_atom_site_label
_atom_site_type_symbol
_atom_site_fract_x
_atom_site_fract_y
_atom_site_fract_z
Mg1 Mg 0.0000 0.0000 0.0000
Zn1 Zn 0.0000 0.3454 0.1973
Ga1 Ga 0.0000 0.3252 0.6664
Ga2 Ga 0.3333 0.6667 0.0000
```

*Q*
# MgZn6Ga8

A relaxed structure of MgZn6Ga8 (PBE, the Alexandria database).

Geometry as CIF:
```
data_MgZn6Ga8
_chemical_formula_sum 'Mg3 Zn18 Ga24'
_cell_length_a 7.5022
_cell_length_b 7.5022
_cell_length_c 17.4719
_cell_angle_alpha 90.00
_cell_angle_beta 90.00
_cell_angle_gamma 120.00
_symmetry_space_group_name_H-M 'R -3'
_symmetry_Int_Tables_number 148
_symmetry_space_group_name_Hall '-R 3'
loop_
_atom_site_label
_atom_site_type_symbol
_atom_site_fract_x
_atom_site_fract_y
_atom_site_fract_z
Mg1 Mg 0.0000 0.0000 0.0000
Zn1 Zn 0.0088 0.3552 0.9341
Ga1 Ga 0.0000 0.0000 0.3370
Ga2 Ga 0.0098 0.3205 0.1130
```

Most stable: *Q* (next structure +0.007 eV/atom)

*P*
# Mg4ZnGa2

A relaxed structure of Mg4ZnGa2 (PBE, the Alexandria database).

Geometry as CIF:
```
data_Mg4ZnGa2
_chemical_formula_sum 'Mg16 Zn4 Ga8'
_cell_length_a 4.518
_cell_length_b 8.704
_cell_length_c 14.348
_cell_angle_alpha 90.00
_cell_angle_beta 90.00
_cell_angle_gamma 90.00
_symmetry_space_group_name_H-M 'C m c m'
_symmetry_Int_Tables_number 63
_symmetry_space_group_name_Hall '-C 2c 2'
loop_
_atom_site_label
_atom_site_type_symbol
_atom_site_fract_x
_atom_site_fract_y
_atom_site_fract_z
Mg1 Mg 0.000 0.000 0.000
Mg2 Mg 0.000 0.323 0.250
Mg3 Mg 0.000 0.362 0.643
Zn1 Zn 0.000 0.002 0.250
Ga1 Ga 0.000 0.312 0.055
```

*Q*
# Mg4ZnGa2

A relaxed structure of Mg4ZnGa2 (PBE, the Alexandria database).

Geometry as CIF:
```
data_Mg4ZnGa2
_chemical_formula_sum 'Mg12 Zn3 Ga6'
_cell_length_a 4.6509
_cell_length_b 4.6509
_cell_length_c 22.8978
_cell_angle_alpha 90.00
_cell_angle_beta 90.00
_cell_angle_gamma 120.00
_symmetry_space_group_name_H-M 'R -3 m'
_symmetry_Int_Tables_number 166
_symmetry_space_group_name_Hall '-R 3 2"'
loop_
_atom_site_label
_atom_site_type_symbol
_atom_site_fract_x
_atom_site_fract_y
_atom_site_fract_z
Mg1 Mg 0.0000 0.0000 0.1221
Mg2 Mg 0.0000 0.0000 0.3724
Zn1 Zn 0.0000 0.0000 0.5000
Ga1 Ga 0.0000 0.0000 0.2497
```

Most stable: *Q* (next structure +0.016 eV/atom)

*P*
# Mg2ZnGa6

A relaxed structure of Mg2ZnGa6 (PBE, the Alexandria database).

Geometry as CIF:
```
data_Mg2ZnGa6
_chemical_formula_sum 'Mg4 Zn2 Ga12'
_cell_length_a 13.747
_cell_length_b 8.099
_cell_length_c 3.269
_cell_angle_alpha 90.00
_cell_angle_beta 101.00
_cell_angle_gamma 90.00
_symmetry_space_group_name_H-M 'C 1 2/m 1'
_symmetry_Int_Tables_number 12
loop_
_symmetry_equiv_pos_as_xyz
'x,y,z'
'-x,-y,-z'
'-x,y,-z'
'x,-y,z'
'x+1/2,y+1/2,z'
'-x+1/2,-y+1/2,-z'
'-x+1/2,y+1/2,-z'
'x+1/2,-y+1/2,z'
loop_
_atom_site_label
_atom_site_type_symbol
_atom_site_fract_x
_atom_site_fract_y
_atom_site_fract_z
Mg1 Mg 0.149 0.000 0.128
Zn1 Zn 0.000 0.500 0.500
Ga1 Ga 0.000 0.238 0.000
Ga2 Ga 0.170 0.313 0.658
```

*Q*
# Mg2ZnGa6

A relaxed structure of Mg2ZnGa6 (PBE, the Alexandria database).

Geometry as CIF:
```
data_Mg2ZnGa6
_chemical_formula_sum 'Mg4 Zn2 Ga12'
_cell_length_a 10.057
_cell_length_b 5.662
_cell_length_c 6.029
_cell_angle_alpha 90.00
_cell_angle_beta 97.03
_cell_angle_gamma 90.00
_symmetry_space_group_name_H-M 'C 1 2/m 1'
_symmetry_Int_Tables_number 12
loop_
_symmetry_equiv_pos_as_xyz
'x,y,z'
'-x,-y,-z'
'-x,y,-z'
'x,-y,z'
'x+1/2,y+1/2,z'
'-x+1/2,-y+1/2,-z'
'-x+1/2,y+1/2,-z'
'x+1/2,-y+1/2,z'
loop_
_atom_site_label
_atom_site_type_symbol
_atom_site_fract_x
_atom_site_fract_y
_atom_site_fract_z
Mg1 Mg 0.168 0.000 0.363
Zn1 Zn 0.000 0.500 0.500
Ga1 Ga 0.092 0.237 0.839
Ga2 Ga 0.175 0.500 0.201
```

Most stable: *Q* (next structure +0.051 eV/atom)

*P*
# MgZn12Ga6

A relaxed structure of MgZn12Ga6 (PBE, the Alexandria database).

Geometry as CIF:
```
data_MgZn12Ga6
_chemical_formula_sum 'Mg3 Zn36 Ga18'
_cell_length_a 11.5943
_cell_length_b 11.5943
_cell_length_c 8.7533
_cell_angle_alpha 90.00
_cell_angle_beta 90.00
_cell_angle_gamma 120.00
_symmetry_space_group_name_H-M 'R -3 m'
_symmetry_Int_Tables_number 166
_symmetry_space_group_name_Hall '-R 3 2"'
loop_
_atom_site_label
_atom_site_type_symbol
_atom_site_fract_x
_atom_site_fract_y
_atom_site_fract_z
Mg1 Mg 0.0000 0.0000 0.0000
Zn1 Zn 0.0000 0.3901 0.5000
Zn2 Zn 0.0785 0.1569 0.2695
Ga1 Ga 0.0663 0.5332 0.2286
```

*Q*
# MgZn12Ga6

A relaxed structure of MgZn12Ga6 (PBE, the Alexandria database).

Geometry as CIF:
```
data_MgZn12Ga6
_chemical_formula_sum 'Mg3 Zn36 Ga18'
_cell_length_a 12.6773
_cell_length_b 12.6773
_cell_length_c 6.7416
_cell_angle_alpha 90.00
_cell_angle_beta 90.00
_cell_angle_gamma 120.00
_symmetry_space_group_name_H-M 'R -3'
_symmetry_Int_Tables_number 148
_symmetry_space_group_name_Hall '-R 3'
loop_
_atom_site_label
_atom_site_type_symbol
_atom_site_fract_x
_atom_site_fract_y
_atom_site_fract_z
Mg1 Mg 0.0000 0.0000 0.0000
Zn1 Zn 0.0188 0.8786 0.6665
Zn2 Zn 0.0722 0.5112 0.6622
Ga1 Ga 0.0349 0.7578 0.3424
```

Most stable: *Q* (next structure +0.063 eV/atom)

*P*
# Mg2Zn2Ga7

A relaxed structure of Mg2Zn2Ga7 (PBE, the Alexandria database).

Geometry as CIF:
```
data_Mg2Zn2Ga7
_chemical_formula_sum 'Mg4 Zn4 Ga14'
_cell_length_a 10.662
_cell_length_b 8.252
_cell_length_c 5.609
_cell_angle_alpha 90.00
_cell_angle_beta 121.03
_cell_angle_gamma 90.00
_symmetry_space_group_name_H-M 'C 1 2/m 1'
_symmetry_Int_Tables_number 12
loop_
_symmetry_equiv_pos_as_xyz
'x,y,z'
'-x,-y,-z'
'-x,y,-z'
'x,-y,z'
'x+1/2,y+1/2,z'
'-x+1/2,-y+1/2,-z'
'-x+1/2,y+1/2,-z'
'x+1/2,-y+1/2,z'
loop_
_atom_site_label
_atom_site_type_symbol
_atom_site_fract_x
_atom_site_fract_y
_atom_site_fract_z
Mg1 Mg 0.000 0.190 0.000
Zn1 Zn 0.224 0.000 0.456
Ga1 Ga 0.000 0.000 0.500
Ga2 Ga 0.007 0.500 0.767
Ga3 Ga 0.173 0.267 0.718
```

*Q*
# Mg2Zn2Ga7

A relaxed structure of Mg2Zn2Ga7 (PBE, the Alexandria database).

Geometry as CIF:
```
data_Mg2Zn2Ga7
_chemical_formula_sum 'Mg4 Zn4 Ga14'
_cell_length_a 8.418
_cell_length_b 6.731
_cell_length_c 8.349
_cell_angle_alpha 90.00
_cell_angle_beta 118.43
_cell_angle_gamma 90.00
_symmetry_space_group_name_H-M 'C 1 2/m 1'
_symmetry_Int_Tables_number 12
loop_
_symmetry_equiv_pos_as_xyz
'x,y,z'
'-x,-y,-z'
'-x,y,-z'
'x,-y,z'
'x+1/2,y+1/2,z'
'-x+1/2,-y+1/2,-z'
'-x+1/2,y+1/2,-z'
'x+1/2,-y+1/2,z'
loop_
_atom_site_label
_atom_site_type_symbol
_atom_site_fract_x
_atom_site_fract_y
_atom_site_fract_z
Mg1 Mg 0.149 0.000 0.386
Zn1 Zn 0.000 0.307 0.500
Ga1 Ga 0.000 0.000 0.000
Ga2 Ga 0.036 0.500 0.234
Ga3 Ga 0.224 0.204 0.834
```

Most stable: *P* (next structure +0.005 eV/atom)

*P*
# MgZn2Ga3

A relaxed structure of MgZn2Ga3 (PBE, the Alexandria database).

Geometry as CIF:
```
data_MgZn2Ga3
_chemical_formula_sum 'Mg6 Zn12 Ga18'
_cell_length_a 5.9490
_cell_length_b 5.9490
_cell_length_c 20.8392
_cell_angle_alpha 90.00
_cell_angle_beta 90.00
_cell_angle_gamma 120.00
_symmetry_space_group_name_H-M 'R -3 m'
_symmetry_Int_Tables_number 166
_symmetry_space_group_name_Hall '-R 3 2"'
loop_
_atom_site_label
_atom_site_type_symbol
_atom_site_fract_x
_atom_site_fract_y
_atom_site_fract_z
Mg1 Mg 0.0000 0.0000 0.2200
Zn1 Zn 0.0000 0.0000 0.0000
Zn2 Zn 0.0000 0.5000 0.0000
Ga1 Ga 0.0093 0.5047 0.2262
```

*Q*
# MgZn2Ga3

A relaxed structure of MgZn2Ga3 (PBE, the Alexandria database).

Geometry as CIF:
```
data_MgZn2Ga3
_chemical_formula_sum 'Mg2 Zn4 Ga6'
_cell_length_a 4.187
_cell_length_b 12.482
_cell_length_c 4.018
_cell_angle_alpha 90.00
_cell_angle_beta 90.00
_cell_angle_gamma 90.00
_symmetry_space_group_name_H-M 'C m m m'
_symmetry_Int_Tables_number 65
_symmetry_space_group_name_Hall '-C 2 2'
loop_
_atom_site_label
_atom_site_type_symbol
_atom_site_fract_x
_atom_site_fract_y
_atom_site_fract_z
Mg1 Mg 0.000 0.000 0.000
Zn1 Zn 0.000 0.329 0.000
Ga1 Ga 0.000 0.171 0.500
Ga2 Ga 0.000 0.500 0.500
```

Most stable: *Q* (next structure +0.016 eV/atom)

*P*
# Mg3ZnGa

A relaxed structure of Mg3ZnGa (PBE, the Alexandria database).

Geometry as CIF:
```
data_Mg3ZnGa
_chemical_formula_sum 'Mg3 Zn1 Ga1'
_cell_length_a 4.988
_cell_length_b 4.988
_cell_length_c 4.988
_cell_angle_alpha 90.00
_cell_angle_beta 90.00
_cell_angle_gamma 90.00
_symmetry_space_group_name_H-M 'P m -3 m'
_symmetry_Int_Tables_number 221
_symmetry_space_group_name_Hall '-P 4 2 3'
loop_
_atom_site_label
_atom_site_type_symbol
_atom_site_fract_x
_atom_site_fract_y
_atom_site_fract_z
Mg1 Mg 0.000 0.000 0.500
Zn1 Zn 0.000 0.000 0.000
Ga1 Ga 0.500 0.500 0.500
```

*Q*
# Mg3ZnGa

A relaxed structure of Mg3ZnGa (PBE, the Alexandria database).

Geometry as CIF:
```
data_Mg3ZnGa
_chemical_formula_sum 'Mg6 Zn2 Ga2'
_cell_length_a 4.932
_cell_length_b 6.012
_cell_length_c 7.178
_cell_angle_alpha 91.33
_cell_angle_beta 109.96
_cell_angle_gamma 95.53
_symmetry_space_group_name_H-M 'P 1'
_symmetry_Int_Tables_number 1
loop_
_symmetry_equiv_pos_as_xyz
'x,y,z'
loop_
_atom_site_label
_atom_site_type_symbol
_atom_site_fract_x
_atom_site_fract_y
_atom_site_fract_z
Mg1 Mg 0.000 0.000 0.000
Mg2 Mg 0.115 0.521 0.049
Mg3 Mg 0.348 0.832 0.419
Mg4 Mg 0.496 0.575 0.798
Mg5 Mg 0.626 0.239 0.179
Mg6 Mg 0.847 0.261 0.627
Zn1 Zn 0.397 0.080 0.779
Zn2 Zn 0.719 0.733 0.216
Ga1 Ga 0.235 0.298 0.408
Ga2 Ga 0.943 0.754 0.631
```

*R*
# Mg3ZnGa

A relaxed structure of Mg3ZnGa (PBE, the Alexandria database).

Geometry as CIF:
```
data_Mg3ZnGa
_chemical_formula_sum 'Mg12 Zn4 Ga4'
_cell_length_a 9.827
_cell_length_b 4.437
_cell_length_c 9.702
_cell_angle_alpha 90.00
_cell_angle_beta 107.81
_cell_angle_gamma 90.00
_symmetry_space_group_name_H-M 'C 1 2/m 1'
_symmetry_Int_Tables_number 12
loop_
_symmetry_equiv_pos_as_xyz
'x,y,z'
'-x,-y,-z'
'-x,y,-z'
'x,-y,z'
'x+1/2,y+1/2,z'
'-x+1/2,-y+1/2,-z'
'-x+1/2,y+1/2,-z'
'x+1/2,-y+1/2,z'
loop_
_atom_site_label
_atom_site_type_symbol
_atom_site_fract_x
_atom_site_fract_y
_atom_site_fract_z
Mg1 Mg 0.094 0.000 0.401
Mg2 Mg 0.099 0.500 0.901
Mg3 Mg 0.247 0.500 0.256
Zn1 Zn 0.110 0.500 0.607
Ga1 Ga 0.113 0.000 0.112
```

Most stable: *R* (next structure +0.026 eV/atom)

*P*
# Mg2ZnGa2

A relaxed structure of Mg2ZnGa2 (PBE, the Alexandria database).

Geometry as CIF:
```
data_Mg2ZnGa2
_chemical_formula_sum 'Mg4 Zn2 Ga4'
_cell_length_a 3.240
_cell_length_b 4.241
_cell_length_c 13.565
_cell_angle_alpha 90.00
_cell_angle_beta 90.00
_cell_angle_gamma 90.00
_symmetry_space_group_name_H-M 'A m m 2'
_symmetry_Int_Tables_number 38
loop_
_symmetry_equiv_pos_as_xyz
'x,y,z'
'-x,-y,z'
'-x,y,z'
'x,-y,z'
'x,y+1/2,z+1/2'
'-x,-y+1/2,z+1/2'
'-x,y+1/2,z+1/2'
'x,-y+1/2,z+1/2'
loop_
_atom_site_label
_atom_site_type_symbol
_atom_site_fract_x
_atom_site_fract_y
_atom_site_fract_z
Mg1 Mg 0.000 0.000 0.000
Mg2 Mg 0.000 0.000 0.226
Zn1 Zn 0.500 0.000 0.415
Ga1 Ga 0.500 0.000 0.610
Ga2 Ga 0.500 0.000 0.812
```

*Q*
# Mg2ZnGa2

A relaxed structure of Mg2ZnGa2 (PBE, the Alexandria database).

Geometry as CIF:
```
data_Mg2ZnGa2
_chemical_formula_sum 'Mg4 Zn2 Ga4'
_cell_length_a 6.716
_cell_length_b 6.716
_cell_length_c 4.235
_cell_angle_alpha 90.00
_cell_angle_beta 90.00
_cell_angle_gamma 90.00
_symmetry_space_group_name_H-M 'P 4/m b m'
_symmetry_Int_Tables_number 127
_symmetry_space_group_name_Hall '-P 4 2ab'
loop_
_atom_site_label
_atom_site_type_symbol
_atom_site_fract_x
_atom_site_fract_y
_atom_site_fract_z
Mg1 Mg 0.169 0.331 0.000
Zn1 Zn 0.000 0.000 0.500
Ga1 Ga 0.137 0.637 0.500
```

*R*
# Mg2ZnGa2

A relaxed structure of Mg2ZnGa2 (PBE, the Alexandria database).

Geometry as CIF:
```
data_Mg2ZnGa2
_chemical_formula_sum 'Mg8 Zn4 Ga8'
_cell_length_a 4.407
_cell_length_b 11.707
_cell_length_c 7.730
_cell_angle_alpha 90.00
_cell_angle_beta 90.00
_cell_angle_gamma 90.00
_symmetry_space_group_name_H-M 'C m c 21'
_symmetry_Int_Tables_number 36
loop_
_symmetry_equiv_pos_as_xyz
'x,y,z'
'-x,-y,z+1/2'
'-x,y,z'
'x,-y,z+1/2'
'x+1/2,y+1/2,z'
'-x+1/2,-y+1/2,z+1/2'
'-x+1/2,y+1/2,z'
'x+1/2,-y+1/2,z+1/2'
loop_
_atom_site_label
_atom_site_type_symbol
_atom_site_fract_x
_atom_site_fract_y
_atom_site_fract_z
Mg1 Mg 0.000 0.038 0.000
Mg2 Mg 0.000 0.239 0.379
Zn1 Zn 0.000 0.392 0.069
Ga1 Ga 0.000 0.172 0.715
Ga2 Ga 0.000 0.403 0.730
```

Most stable: *P* (next structure +0.006 eV/atom)